a:
## RuSeCl2 (GGA-PBE)

Data for RuSeCl2 after structural relaxation.

abc: 4.740 4.740 4.740
angles: 60.00 60.00 60.00
Last column: magnetic moment on the atom in μB.
Positions (direct):
Ru 0.500 0.500 0.500  2.38
Se 0.000 0.000 0.000  -0.31
Cl 0.250 0.250 0.250  0.04
Cl 0.750 0.750 0.750  0.04

Properties
Spin magnetization (Bohr magnetons per cell): 2.10
Space-group type: Fm-3m, No. 225


b:
## RuSeCl2 (GGA-PBE)

Data for RuSeCl2 after structural relaxation.

abc: 3.018 3.018 9.473
angles: 90.00 90.00 90.00
Last column: magnetic moment on the atom in μB.
Positions (direct):
Ru 0.000 0.000 0.524  0.01
Se 0.500 0.500 0.671  0.01
Cl 0.000 0.000 0.963  0.39
Cl 0.500 0.500 0.342  0.01

Properties
Spin magnetization (Bohr magnetons per cell): 0.51
Space-group type: P4mm, No. 99


So which one is most stable? That would be b, about 790 meV/atom below the next structure.


a:
## Ru2SeCl (GGA-PBE)

Data for Ru2SeCl after structural relaxation.

abc: 2.967 2.967 9.948
angles: 90.00 90.00 122.27
Positions (direct):
Cl 0.500 0.500 0.817
Ru 0.000 0.000 0.007
Ru 0.500 0.500 0.237
Se 0.000 0.000 0.439

Properties
Spin magnetization (Bohr magnetons per cell): 0.00
Space-group type: Cmm2, No. 35


b:
## Ru2SeCl (GGA-PBE)

Data for Ru2SeCl after structural relaxation.

abc: 2.950 5.514 4.035
angles: 90.00 90.00 90.00
Positions (direct):
Cl 0.000 0.500 0.500
Ru 0.000 0.000 0.000
Ru 0.500 0.500 0.000
Se 0.500 0.000 0.500

Properties
Spin magnetization (Bohr magnetons per cell): 0.00
Space-group type: Pmmm, No. 47


c:
## Ru2SeCl (GGA-PBE)

Data for Ru2SeCl after structural relaxation.

abc: 2.918 2.918 8.581
angles: 90.00 90.00 90.00
Positions (direct):
Cl 0.500 0.500 0.831
Ru 0.000 0.000 0.027
Ru 0.500 0.500 0.223
Se 0.000 0.000 0.419

Properties
Spin magnetization (Bohr magnetons per cell): 0.00
Space-group type: P4mm, No. 99


d:
## Ru2SeCl (GGA-PBE)

Data for Ru2SeCl after structural relaxation.

abc: 5.482 5.482 6.640
angles: 65.62 65.62 90.00
Positions (direct):
Ru 0.625 0.125 0.250
Ru 0.125 0.625 0.250
Ru 0.375 0.375 0.750
Ru 0.875 0.875 0.750
Se 0.000 0.000 0.000
Se 0.750 0.250 0.500
Cl 0.500 0.500 0.000
Cl 0.250 0.750 0.500

Properties
Spin magnetization (Bohr magnetons per cell): 0.00
Space-group type: I-42d, No. 122


So which one is most stable? That would be c, about 262 meV/atom below the next structure.